# 1
KLa2FeS | SCAN | PBEsol geometry

Cell and atoms, written as extended XYZ:
```
5
Lattice="4.7229 0.0000 0.0000 0.0000 5.1246 0.0000 0.0000 0.0000 5.1246" Properties=species:S:1:pos:R:3 pbc="T T T"
S 2.3614 0.0000 0.0000
K 2.3614 2.5623 2.5623
Fe 0.0000 0.0000 0.0000
La 0.0000 0.0000 2.5623
La 0.0000 2.5623 0.0000
```

## Properties
Volume: 124.0 Å³ per cell
D(E_F): 2.512 states/eV/f.u.
Magnetic moment: 0.4 μB/f.u.
Raw formation energy: -0.02 eV per atom
Symmetry: P4/mmm (123)

***

# 2
NiAg2O2 | SCAN | PBEsol geometry

Cell and atoms, written as extended XYZ:
```
5
Lattice="2.8623 0.0000 0.0000 1.4311 2.4788 0.0000 1.4311 0.8263 8.2248" Properties=species:S:1:pos:R:3 pbc="T T T"
Ni 0.0000 0.0000 0.0000
O 2.8623 1.6525 0.9887
O 2.8623 1.6525 7.2361
Ag 4.2934 2.4788 5.2433
Ag 1.4311 0.8263 2.9816
```

## Properties
Volume: 58.4 Å³ per cell
D(E_F): 2.130 states/eV/f.u.
Magnetic moment: 0.9 μB/f.u.
Raw formation energy: -0.66 eV per atom
Symmetry: R-3m (166)

***

- The highest volume belongs to which entry?
  KLa2FeS

***

- Among the records above, which one has the highest volume?
  KLa2FeS

***

- raw formation energy of number 1 (KLa2FeS)?
  -0.02 eV per atom

***

- The lowest D(E_F) belongs to which entry?
  NiAg2O2